(1)
Below is a geometry-optimized Mg2BiBr structure, with properties calculated at the PBE level.

a b c (Å): 8.270 8.270 7.069
angles (deg): 113.53 113.53 32.23
Fractional coordinates of all 8 atoms:
Mg1 0.000 0.000 0.000
Mg2 0.314 0.314 0.294
Mg3 0.549 0.549 0.674
Mg4 0.756 0.756 0.748
Bi1 0.162 0.162 0.900
Bi2 0.379 0.379 0.737
Br1 0.605 0.605 0.361
Br2 0.903 0.903 0.250

Calculated values
D(E_F): 0.3 states/eV/f.u.
Final energy: -22.07 eV for the cell shown
E above lowest polymorph: 65 meV per atom
Volume: 234.5 Å³ per cell
Energy relative to the elements, uncorrected: -0.574 eV per atom

=====

(2)
Below is a geometry-optimized CeNd6Dy2Ho structure, with properties calculated at the PBE level.

a b c (Å): 6.673 6.673 8.870
angles (deg): 101.56 101.56 63.96
Fractional coordinates of all 10 atoms:
Ce1 0.000 0.000 0.000
Nd1 0.094 0.561 0.203
Nd2 0.126 0.126 0.417
Nd3 0.439 0.906 0.797
Nd4 0.561 0.094 0.203
Nd5 0.874 0.874 0.583
Nd6 0.906 0.439 0.797
Dy1 0.409 0.409 0.835
Dy2 0.591 0.591 0.165
Ho1 0.500 0.500 0.500

Calculated values
D(E_F): 22.0 states/eV/f.u.
Final energy: -45.95 eV for the cell shown
Volume: 344.9 Å³ per cell
Formation enthalpy at 0 K: 237 meV/atom

=====

(3)
Below is a geometry-optimized Sm2ZrPd structure, with properties calculated at the PBE level.

a b c (Å): 3.575 3.575 7.987
angles (deg): 90.00 90.00 90.00
Fractional coordinates of all 4 atoms:
Sm1 0.000 0.000 0.220
Sm2 0.000 0.000 0.780
Zr1 0.500 0.500 0.500
Pd1 0.500 0.500 0.000

Calculated values
D(E_F): 4.0 states/eV/f.u.
Final energy: -24.35 eV for the cell shown
E above lowest polymorph: 0 meV per atom
Volume: 102.1 Å³ per cell
Formation enthalpy at 0 K: -292 meV/atom

=====

(4)
Below is a geometry-optimized NaZnOF structure, with properties calculated at the PBE level.

a b c (Å): 11.372 11.372 11.372
angles (deg): 16.48 16.48 16.48
Fractional coordinates of all 8 atoms:
Na1 0.000 0.000 0.000
Na2 0.500 0.500 0.500
Zn1 0.237 0.237 0.237
Zn2 0.763 0.763 0.763
O1 0.119 0.119 0.119
O2 0.881 0.881 0.881
F1 0.295 0.295 0.295
F2 0.705 0.705 0.705

Calculated values
D(E_F): 0.0 states/eV/f.u.
Final energy: -34.49 eV for the cell shown
Volume: 103.2 Å³ per cell
Energy relative to the elements, uncorrected: -1.956 eV per atom